A relaxed CsTl2Pd3 crystal, computed with PBE.

Properties
As for the total energy: -3.67 eV per atom. The value obtained for the density of states at the Fermi level is 4.1 states/eV/cell. As for the formation energy: -0.14 eV/atom.

Lattice parameters (Å, degrees): 4.1937 8.3269 10.3375 69.33 89.99 75.48
With the nearest neighbours (Å) after each atom.
Space group P-1 (No. 2)
Asymmetric unit:
Cs: 0.1390 0.2221 0.0129 (multiplicity 2)  7 Tl 3.77-3.93, 2 Cs 4.19
Tl: 0.1999 0.1004 0.6779 (multiplicity 2)  6 Pd 2.80-2.90
Tl: 0.4553 0.5900 0.7659 (multiplicity 2)  4 Pd 2.75-2.82
Pd: 0.0530 0.3938 0.4206 (multiplicity 2)  7 Pd 2.77-2.95, 3 Tl 2.82-2.84
Pd: 0.3096 0.8809 0.5207 (multiplicity 2)  4 Tl 2.75-2.90, 5 Pd 2.77-2.95
Pd: 0.4258 0.6477 0.3752 (multiplicity 2)  3 Tl 2.80-2.83, 6 Pd 2.80-2.91

---

A relaxed CsTl5Pd3 crystal, computed with PBE.

Properties
As for the total energy: -3.24 eV per atom. The value obtained for the density of states at the Fermi level is 15.1 states/eV/cell. As for the formation energy: -0.10 eV/atom.

Lattice parameters (Å, degrees): 4.7041 14.1917 15.3260 90.00 90.00 90.00
With the nearest neighbours (Å) after each atom.
Space group Cmcm (No. 63)
Asymmetric unit:
Cs: 0.0000 0.1582 0.2500 (multiplicity 4)  7 Pd 3.92-4.21, 10 Tl 3.97-4.36
Tl: 0.0000 0.0000 0.0000 (multiplicity 4)  4 Pd 2.80
Tl: 0.0000 0.2126 0.5787 (multiplicity 8)  2 Pd 2.73-2.95
Tl: 0.0000 0.4463 0.1514 (multiplicity 8)  4 Pd 2.84-2.94, 1 Tl 3.02
Pd: 0.0000 0.1182 0.7500 (multiplicity 4)  6 Tl 2.94-2.95
Pd: 0.0000 0.3975 0.5284 (multiplicity 8)  5 Tl 2.73-2.91, 1 Pd 3.04

---

A relaxed CsTl12Pd6 crystal, computed with PBE.

Properties
As for the total energy: -3.29 eV per atom. The value obtained for the density of states at the Fermi level is 24.9 states/eV/cell. As for the formation energy: -0.11 eV/atom.

Lattice parameters (Å, degrees): 13.1134 13.1134 10.0800 90.00 90.00 120.00
With the nearest neighbours (Å) after each atom.
Space group R-3m (No. 166, hexagonal axes)
Asymmetric unit:
Cs: 0.0000 0.0000 0.0000 (multiplicity 3)  18 Tl 4.00-4.44, 6 Pd 4.36
Tl: 0.0000 0.3778 0.5000 (multiplicity 18)  4 Pd 2.85-2.92
Tl: 0.0885 0.1769 0.3426 (multiplicity 18)  3 Pd 2.86-2.92
Pd: 0.0455 0.5228 0.2637 (multiplicity 18)  7 Tl 2.85-2.92

---

A relaxed Cs5Tl4Pd2 crystal, computed with PBE.

Properties
As for the total energy: -2.17 eV per atom. The value obtained for the density of states at the Fermi level is 24.0 states/eV/cell. As for the formation energy: 0.02 eV/atom.

Lattice parameters (Å, degrees): 4.2392 10.6761 22.2950 90.00 90.00 90.00
With the nearest neighbours (Å) after each atom.
Space group Immm (No. 71)
Asymmetric unit:
Cs: 0.0000 0.0000 0.0000 (multiplicity 2)  10 Cs 4.24-4.68, 4 Tl 4.30
Cs: 0.0000 0.2865 0.3432 (multiplicity 8)  4 Tl 3.78-4.19
Tl: 0.0000 0.1500 0.5000 (multiplicity 4)  4 Pd 3.00, 1 Tl 3.20
Tl: 0.0000 0.5000 0.1853 (multiplicity 4)  1 Pd 2.74
Pd: 0.0000 0.5000 0.0624 (multiplicity 4)  5 Tl 2.74-3.00, 1 Pd 2.78

---

A relaxed Cs2Tl3Pd6 crystal, computed with PBE.

Properties
As for the total energy: -3.60 eV per atom. The value obtained for the density of states at the Fermi level is 6.9 states/eV/cell. As for the formation energy: 0.03 eV/atom.

Lattice parameters (Å, degrees): 8.8596 8.8596 4.6079 90.00 90.00 120.00
With the nearest neighbours (Å) after each atom.
Space group P-62m (No. 189)
Asymmetric unit:
Cs: 0.3333 0.6667 0.0000 (multiplicity 2)  6 Tl 3.65, 3 Pd 3.81
Tl: 0.0000 0.6355 0.5000 (multiplicity 3)  4 Pd 2.80-2.82
Pd: 0.0000 0.1865 0.5000 (multiplicity 3)  2 Tl 2.80, 6 Pd 2.82-2.86
Pd: 0.0000 0.8184 0.0000 (multiplicity 3)  6 Pd 2.79-2.82, 2 Tl 2.82

---

A relaxed Cs2Tl5Pd3 crystal, computed with PBE.

Properties
As for the total energy: -3.02 eV per atom. The value obtained for the density of states at the Fermi level is 16.4 states/eV/cell. As for the formation energy: -0.10 eV/atom.

Lattice parameters (Å, degrees): 13.4042 15.1143 7.2228 90.00 122.49 90.00
With the nearest neighbours (Å) after each atom.
Space group C2/c (No. 15)
Asymmetric unit:
Cs: 0.2348 0.1268 0.2349 (multiplicity 8)  6 Pd 3.73-4.09, 10 Tl 3.81-4.06
Tl: 0.0000 0.2734 0.7500 (multiplicity 4)  2 Pd 2.85
Tl: 0.0000 0.2736 0.2500 (multiplicity 4)  2 Pd 2.85
Tl: 0.0000 0.5000 0.2500 (multiplicity 4)  4 Pd 2.89
Tl: 0.1234 0.1109 0.6234 (multiplicity 8)  3 Pd 2.83
Pd: 0.0000 0.0003 0.2500 (multiplicity 4)  4 Tl 2.83
Pd: 0.1260 0.3845 0.1258 (multiplicity 8)  5 Tl 2.83-2.89

---

A relaxed Cs3Tl3Pd2 crystal, computed with PBE.

Properties
The value obtained for the energy above the most stable polymorph in this dataset is 0.043 eV per atom. As for the total energy: -2.58 eV per atom. The value obtained for the density of states at the Fermi level is 16.5 states/eV/cell. As for the formation energy: -0.07 eV/atom.

Lattice parameters (Å, degrees): 9.6715 17.0075 7.1838 90.00 90.00 90.00
With the nearest neighbours (Å) after each atom.
Space group Pnma (No. 62)
Asymmetric unit:
Cs: 0.0463 0.1110 0.1025 (multiplicity 8)  2 Pd 3.60-3.80, 5 Tl 3.81-4.02, 1 Cs 4.02
Cs: 0.2293 0.2500 0.5501 (multiplicity 4)  4 Tl 3.56-3.70, 2 Pd 3.80
Tl: 0.1406 0.7500 0.5135 (multiplicity 4)  2 Pd 2.86
Tl: 0.1584 0.0378 0.6128 (multiplicity 8)  3 Pd 2.84-2.96
Pd: 0.1251 0.5933 0.3720 (multiplicity 8)  4 Tl 2.84-2.96